# 1
# Sm8Bi2P | the Alexandria database | PBE-GGA | optimized geometry
# E_form   -0.555 eV per atom
# Symmetry   C2/m (12)
data_Sm8Bi2P
_space_group_name_H-M_alt 'P 1'
_space_group_IT_number 1
_cell_length_a 4.198
_cell_length_b 9.066
_cell_length_c 9.469
_cell_angle_alpha 94.97
_cell_angle_beta 102.81
_cell_angle_gamma 90.00
loop_
_space_group_symop_operation_xyz
'x,y,z'
loop_
_atom_site_label
_atom_site_type_symbol
_atom_site_fract_x
_atom_site_fract_y
_atom_site_fract_z
_atom_site_occupancy
Sm1 Sm 0.409 0.465 0.819 1
Sm2 Sm 0.653 0.028 0.305 1
Sm3 Sm 0.794 0.638 0.587 1
Sm4 Sm 0.009 0.215 0.019 1
Sm5 Sm 0.206 0.362 0.413 1
Sm6 Sm 0.347 0.972 0.695 1
Sm7 Sm 0.591 0.535 0.181 1
Sm8 Sm 0.991 0.785 0.981 1
Bi1 Bi 0.821 0.232 0.642 1
Bi2 Bi 0.179 0.768 0.358 1
P1 P 0.500 0.000 0.000 1


# 2
# Sm6Bi2Te3P | the Alexandria database | PBE-GGA | optimized geometry
# Formation energy from raw total energies   -1.2963 eV per atom
# Symmetry   C2/m (12)
data_Sm6Bi2Te3P
_space_group_name_H-M_alt 'P 1'
_space_group_IT_number 1
_cell_length_a 4.391
_cell_length_b 8.935
_cell_length_c 9.969
_cell_angle_alpha 102.98
_cell_angle_beta 102.72
_cell_angle_gamma 90.00
loop_
_space_group_symop_operation_xyz
'x,y,z'
loop_
_atom_site_label
_atom_site_type_symbol
_atom_site_fract_x
_atom_site_fract_y
_atom_site_fract_z
_atom_site_occupancy
Sm1 Sm 0.351 0.925 0.702 1
Sm2 Sm 0.664 0.582 0.328 1
Sm3 Sm 0.649 0.075 0.298 1
Sm4 Sm 0.999 0.215 0.997 1
Sm5 Sm 0.001 0.785 0.003 1
Sm6 Sm 0.336 0.418 0.672 1
Bi1 Bi 0.833 0.667 0.666 1
Bi2 Bi 0.167 0.333 0.334 1
Te1 Te 0.500 0.500 0.000 1
Te2 Te 0.829 0.162 0.657 1
Te3 Te 0.171 0.838 0.343 1
P1 P 0.500 0.000 0.000 1


# 3
# Sm8BiTe4P3 | the Alexandria database | PBE-GGA | optimized geometry
# Formation energy from raw total energies   -1.4490 eV per atom
# Symmetry   R-3m (166)
data_Sm8BiTe4P3
_space_group_name_H-M_alt 'P 1'
_space_group_IT_number 1
_cell_length_a 8.590
_cell_length_b 8.777
_cell_length_c 8.590
_cell_angle_alpha 119.30
_cell_angle_beta 120.00
_cell_angle_gamma 90.00
loop_
_space_group_symop_operation_xyz
'x,y,z'
loop_
_atom_site_label
_atom_site_type_symbol
_atom_site_fract_x
_atom_site_fract_y
_atom_site_fract_z
_atom_site_occupancy
Sm1 Sm 0.250 0.721 0.971 1
Sm2 Sm 0.250 0.721 0.500 1
Sm3 Sm 0.263 0.288 0.526 1
Sm4 Sm 0.721 0.721 0.971 1
Sm5 Sm 0.279 0.279 0.029 1
Sm6 Sm 0.737 0.712 0.474 1
Sm7 Sm 0.750 0.279 0.500 1
Sm8 Sm 0.750 0.279 0.029 1
Bi1 Bi 0.000 0.500 0.000 1
Te1 Te 0.500 0.000 0.000 1
Te2 Te 0.500 0.000 0.500 1
Te3 Te 0.000 0.000 0.000 1
Te4 Te 0.000 0.000 0.500 1
P1 P 0.500 0.500 0.000 1
P2 P 0.500 0.500 0.500 1
P3 P 0.000 0.500 0.500 1


# 4
# SmThBiP | the Alexandria database | PBE-GGA | optimized geometry
# E_form   -1.089 eV per atom
# Symmetry   R3m (160)
data_SmThBiP
_space_group_name_H-M_alt 'P 1'
_space_group_IT_number 1
_cell_length_a 4.269
_cell_length_b 4.268
_cell_length_c 7.836
_cell_angle_alpha 90.00
_cell_angle_beta 105.80
_cell_angle_gamma 120.00
loop_
_space_group_symop_operation_xyz
'x,y,z'
loop_
_atom_site_label
_atom_site_type_symbol
_atom_site_fract_x
_atom_site_fract_y
_atom_site_fract_z
_atom_site_occupancy
Sm1 Sm 0.944 0.370 0.330 1
Th1 Th 0.330 0.563 0.908 1
Bi1 Bi 0.470 0.133 0.618 1
P1 P 0.134 0.965 0.114 1


# 5
# SnBiP2 | the Alexandria database | PBE-GGA | optimized geometry
# E_form   0.080 eV per atom
# Symmetry   R-3m (166)
data_SnBiP2
_space_group_name_H-M_alt 'P 1'
_space_group_IT_number 1
_cell_length_a 4.055
_cell_length_b 4.055
_cell_length_c 6.964
_cell_angle_alpha 73.07
_cell_angle_beta 73.07
_cell_angle_gamma 60.00
loop_
_space_group_symop_operation_xyz
'x,y,z'
loop_
_atom_site_label
_atom_site_type_symbol
_atom_site_fract_x
_atom_site_fract_y
_atom_site_fract_z
_atom_site_occupancy
P1 P 0.245 0.245 0.264 1
P2 P 0.755 0.755 0.736 1
Bi1 Bi 0.000 0.000 0.000 1
Sn1 Sn 0.500 0.500 0.500 1


# 6
# Sn3BiP | the Alexandria database | PBE-GGA | optimized geometry
# E_form   0.295 eV per atom
# Symmetry   Pm-3m (221)
data_Sn3BiP
_space_group_name_H-M_alt 'P 1'
_space_group_IT_number 1
_cell_length_a 5.296
_cell_length_b 5.296
_cell_length_c 5.296
_cell_angle_alpha 90.00
_cell_angle_beta 90.00
_cell_angle_gamma 90.00
loop_
_space_group_symop_operation_xyz
'x,y,z'
loop_
_atom_site_label
_atom_site_type_symbol
_atom_site_fract_x
_atom_site_fract_y
_atom_site_fract_z
_atom_site_occupancy
P1 P 0.000 0.000 0.000 1
Bi1 Bi 0.500 0.500 0.500 1
Sn1 Sn 0.000 0.500 0.000 1
Sn2 Sn 0.000 0.000 0.500 1
Sn3 Sn 0.500 0.000 0.000 1


# 7
# SnBi2P | the Alexandria database | PBE-GGA | optimized geometry
# E_form   0.314 eV per atom
# Symmetry   I-42d (122)
data_SnBi2P
_space_group_name_H-M_alt 'P 1'
_space_group_IT_number 1
_cell_length_a 6.311
_cell_length_b 6.311
_cell_length_c 8.732
_cell_angle_alpha 68.81
_cell_angle_beta 68.81
_cell_angle_gamma 90.00
loop_
_space_group_symop_operation_xyz
'x,y,z'
loop_
_atom_site_label
_atom_site_type_symbol
_atom_site_fract_x
_atom_site_fract_y
_atom_site_fract_z
_atom_site_occupancy
P1 P 0.500 0.500 0.000 1
P2 P 0.250 0.750 0.500 1
Bi1 Bi 0.584 0.125 0.250 1
Bi2 Bi 0.166 0.625 0.250 1
Bi3 Bi 0.375 0.416 0.750 1
Bi4 Bi 0.875 0.834 0.750 1
Sn1 Sn 0.000 0.000 0.000 1
Sn2 Sn 0.750 0.250 0.500 1


# 8
# Sn2BiP | the Alexandria database | PBE-GGA | optimized geometry
# E_form   0.075 eV per atom
# Symmetry   R3m (160)
data_Sn2BiP
_space_group_name_H-M_alt 'P 1'
_space_group_IT_number 1
_cell_length_a 3.895
_cell_length_b 3.895
_cell_length_c 8.493
_cell_angle_alpha 76.74
_cell_angle_beta 76.74
_cell_angle_gamma 60.00
loop_
_space_group_symop_operation_xyz
'x,y,z'
loop_
_atom_site_label
_atom_site_type_symbol
_atom_site_fract_x
_atom_site_fract_y
_atom_site_fract_z
_atom_site_occupancy
Sn1 Sn 0.068 0.068 0.795 1
Sn2 Sn 0.268 0.268 0.195 1
Bi1 Bi 0.497 0.497 0.510 1
P1 P 0.667 0.667 0.000 1


# 9
# Sn2BiP | the Alexandria database | PBE-GGA | optimized geometry
# E_form   0.187 eV per atom
# Symmetry   I-42d (122)
data_Sn2BiP
_space_group_name_H-M_alt 'P 1'
_space_group_IT_number 1
_cell_length_a 7.516
_cell_length_b 7.516
_cell_length_c 6.760
_cell_angle_alpha 56.23
_cell_angle_beta 56.23
_cell_angle_gamma 90.00
loop_
_space_group_symop_operation_xyz
'x,y,z'
loop_
_atom_site_label
_atom_site_type_symbol
_atom_site_fract_x
_atom_site_fract_y
_atom_site_fract_z
_atom_site_occupancy
P1 P 0.500 0.500 0.000 1
P2 P 0.250 0.750 0.500 1
Bi1 Bi 0.000 0.000 0.000 1
Bi2 Bi 0.750 0.250 0.500 1
Sn1 Sn 0.576 0.125 0.250 1
Sn2 Sn 0.174 0.625 0.250 1
Sn3 Sn 0.375 0.424 0.750 1
Sn4 Sn 0.875 0.826 0.750 1


# 10
# Sn2BiP | the Alexandria database | PBE-GGA | optimized geometry
# E_form   0.075 eV per atom
# Symmetry   R-3m (166)
data_Sn2BiP
_space_group_name_H-M_alt 'P 1'
_space_group_IT_number 1
_cell_length_a 3.985
_cell_length_b 3.985
_cell_length_c 8.182
_cell_angle_alpha 75.90
_cell_angle_beta 75.90
_cell_angle_gamma 60.00
loop_
_space_group_symop_operation_xyz
'x,y,z'
loop_
_atom_site_label
_atom_site_type_symbol
_atom_site_fract_x
_atom_site_fract_y
_atom_site_fract_z
_atom_site_occupancy
P1 P 0.000 0.000 0.000 1
Bi1 Bi 0.500 0.500 0.500 1
Sn1 Sn 0.266 0.266 0.202 1
Sn2 Sn 0.734 0.734 0.798 1


# 11
# SnBi3P | the Alexandria database | PBE-GGA | optimized geometry
# E_form   1.161 eV per atom
# Symmetry   Pm-3m (221)
data_SnBi3P
_space_group_name_H-M_alt 'P 1'
_space_group_IT_number 1
_cell_length_a 5.744
_cell_length_b 5.744
_cell_length_c 5.744
_cell_angle_alpha 90.00
_cell_angle_beta 90.00
_cell_angle_gamma 90.00
loop_
_space_group_symop_operation_xyz
'x,y,z'
loop_
_atom_site_label
_atom_site_type_symbol
_atom_site_fract_x
_atom_site_fract_y
_atom_site_fract_z
_atom_site_occupancy
P1 P 0.500 0.500 0.500 1
Bi1 Bi 0.000 0.500 0.000 1
Bi2 Bi 0.000 0.000 0.500 1
Bi3 Bi 0.500 0.000 0.000 1
Sn1 Sn 0.000 0.000 0.000 1


# 12
# Sn2BiP | the Alexandria database | PBE-GGA | optimized geometry
# E_form   0.327 eV per atom
# Symmetry   Fm-3m (225)
data_Sn2BiP
_space_group_name_H-M_alt 'P 1'
_space_group_IT_number 1
_cell_length_a 5.235
_cell_length_b 5.235
_cell_length_c 5.235
_cell_angle_alpha 60.00
_cell_angle_beta 60.00
_cell_angle_gamma 60.00
loop_
_space_group_symop_operation_xyz
'x,y,z'
loop_
_atom_site_label
_atom_site_type_symbol
_atom_site_fract_x
_atom_site_fract_y
_atom_site_fract_z
_atom_site_occupancy
P1 P 0.000 0.000 0.000 1
Bi1 Bi 0.500 0.500 0.500 1
Sn1 Sn 0.250 0.250 0.250 1
Sn2 Sn 0.750 0.750 0.750 1


# 13
# Sn3BiP | the Alexandria database | PBE-GGA | optimized geometry
# E_form   1.139 eV per atom
# Symmetry   Pm-3m (221)
data_Sn3BiP
_space_group_name_H-M_alt 'P 1'
_space_group_IT_number 1
_cell_length_a 5.844
_cell_length_b 5.844
_cell_length_c 5.844
_cell_angle_alpha 90.00
_cell_angle_beta 90.00
_cell_angle_gamma 90.00
loop_
_space_group_symop_operation_xyz
'x,y,z'
loop_
_atom_site_label
_atom_site_type_symbol
_atom_site_fract_x
_atom_site_fract_y
_atom_site_fract_z
_atom_site_occupancy
P1 P 0.500 0.500 0.500 1
Bi1 Bi 0.000 0.000 0.000 1
Sn1 Sn 0.000 0.500 0.000 1
Sn2 Sn 0.000 0.000 0.500 1
Sn3 Sn 0.500 0.000 0.000 1


# 14
# SnBi2P | the Alexandria database | PBE-GGA | optimized geometry
# E_form   0.170 eV per atom
# Symmetry   R3m (160)
data_SnBi2P
_space_group_name_H-M_alt 'P 1'
_space_group_IT_number 1
_cell_length_a 4.021
_cell_length_b 4.021
_cell_length_c 8.815
_cell_angle_alpha 76.82
_cell_angle_beta 76.82
_cell_angle_gamma 60.00
loop_
_space_group_symop_operation_xyz
'x,y,z'
loop_
_atom_site_label
_atom_site_type_symbol
_atom_site_fract_x
_atom_site_fract_y
_atom_site_fract_z
_atom_site_occupancy
Sn1 Sn 0.507 0.507 0.479 1
Bi1 Bi 0.066 0.066 0.802 1
Bi2 Bi 0.253 0.253 0.242 1
P1 P 0.674 0.674 0.977 1


# 15
# Sn2BiP2 | the Alexandria database | PBE-GGA | optimized geometry
# E_form   0.213 eV per atom
# Symmetry   P4/mbm (127)
data_Sn2BiP2
_space_group_name_H-M_alt 'P 1'
_space_group_IT_number 1
_cell_length_a 8.009
_cell_length_b 8.009
_cell_length_c 3.850
_cell_angle_alpha 90.00
_cell_angle_beta 90.00
_cell_angle_gamma 90.00
loop_
_space_group_symop_operation_xyz
'x,y,z'
loop_
_atom_site_label
_atom_site_type_symbol
_atom_site_fract_x
_atom_site_fract_y
_atom_site_fract_z
_atom_site_occupancy
P1 P 0.317 0.817 0.000 1
P2 P 0.817 0.683 0.000 1
P3 P 0.683 0.183 0.000 1
P4 P 0.183 0.317 0.000 1
Bi1 Bi 0.000 0.000 0.000 1
Bi2 Bi 0.500 0.500 0.000 1
Sn1 Sn 0.144 0.644 0.500 1
Sn2 Sn 0.644 0.856 0.500 1
Sn3 Sn 0.856 0.356 0.500 1
Sn4 Sn 0.356 0.144 0.500 1


# 16
# Sn2BiP2 | the Alexandria database | PBE-GGA | optimized geometry
# E_form   0.213 eV per atom
# Symmetry   I4/mmm (139)
data_Sn2BiP2
_space_group_name_H-M_alt 'P 1'
_space_group_IT_number 1
_cell_length_a 3.409
_cell_length_b 3.409
_cell_length_c 10.746
_cell_angle_alpha 80.87
_cell_angle_beta 80.87
_cell_angle_gamma 90.00
loop_
_space_group_symop_operation_xyz
'x,y,z'
loop_
_atom_site_label
_atom_site_type_symbol
_atom_site_fract_x
_atom_site_fract_y
_atom_site_fract_z
_atom_site_occupancy
P1 P 0.750 0.250 0.500 1
P2 P 0.250 0.750 0.500 1
Bi1 Bi 0.000 0.000 0.000 1
Sn1 Sn 0.376 0.376 0.248 1
Sn2 Sn 0.624 0.624 0.752 1


# 17
# SnBi3P | the Alexandria database | PBE-GGA | optimized geometry
# E_form   0.453 eV per atom
# Symmetry   Pm-3m (221)
data_SnBi3P
_space_group_name_H-M_alt 'P 1'
_space_group_IT_number 1
_cell_length_a 5.447
_cell_length_b 5.447
_cell_length_c 5.447
_cell_angle_alpha 90.00
_cell_angle_beta 90.00
_cell_angle_gamma 90.00
loop_
_space_group_symop_operation_xyz
'x,y,z'
loop_
_atom_site_label
_atom_site_type_symbol
_atom_site_fract_x
_atom_site_fract_y
_atom_site_fract_z
_atom_site_occupancy
P1 P 0.000 0.000 0.000 1
Bi1 Bi 0.000 0.500 0.000 1
Bi2 Bi 0.000 0.000 0.500 1
Bi3 Bi 0.500 0.000 0.000 1
Sn1 Sn 0.500 0.500 0.500 1


# 18
# SnBiP2 | the Alexandria database | PBE-GGA | optimized geometry
# E_form   0.407 eV per atom
# Symmetry   Fm-3m (225)
data_SnBiP2
_space_group_name_H-M_alt 'P 1'
_space_group_IT_number 1
_cell_length_a 4.974
_cell_length_b 4.974
_cell_length_c 4.974
_cell_angle_alpha 60.00
_cell_angle_beta 60.00
_cell_angle_gamma 60.00
loop_
_space_group_symop_operation_xyz
'x,y,z'
loop_
_atom_site_label
_atom_site_type_symbol
_atom_site_fract_x
_atom_site_fract_y
_atom_site_fract_z
_atom_site_occupancy
P1 P 0.250 0.250 0.250 1
P2 P 0.750 0.750 0.750 1
Bi1 Bi 0.500 0.500 0.500 1
Sn1 Sn 0.000 0.000 0.000 1


# 19
# Sn2BiP2 | the Alexandria database | PBE-GGA | optimized geometry
# E_form   0.187 eV per atom
# Symmetry   I4/mmm (139)
data_Sn2BiP2
_space_group_name_H-M_alt 'P 1'
_space_group_IT_number 1
_cell_length_a 5.325
_cell_length_b 5.325
_cell_length_c 5.682
_cell_angle_alpha 62.06
_cell_angle_beta 62.06
_cell_angle_gamma 90.00
loop_
_space_group_symop_operation_xyz
'x,y,z'
loop_
_atom_site_label
_atom_site_type_symbol
_atom_site_fract_x
_atom_site_fract_y
_atom_site_fract_z
_atom_site_occupancy
P1 P 0.368 0.368 0.263 1
P2 P 0.632 0.632 0.737 1
Bi1 Bi 0.000 0.000 0.000 1
Sn1 Sn 0.750 0.250 0.500 1
Sn2 Sn 0.250 0.750 0.500 1


# 20
# SnBi2P | the Alexandria database | PBE-GGA | optimized geometry
# E_form   0.358 eV per atom
# Symmetry   Fm-3m (225)
data_SnBi2P
_space_group_name_H-M_alt 'P 1'
_space_group_IT_number 1
_cell_length_a 5.314
_cell_length_b 5.314
_cell_length_c 5.314
_cell_angle_alpha 60.00
_cell_angle_beta 60.00
_cell_angle_gamma 60.00
loop_
_space_group_symop_operation_xyz
'x,y,z'
loop_
_atom_site_label
_atom_site_type_symbol
_atom_site_fract_x
_atom_site_fract_y
_atom_site_fract_z
_atom_site_occupancy
P1 P 0.000 0.000 0.000 1
Bi1 Bi 0.250 0.250 0.250 1
Bi2 Bi 0.750 0.750 0.750 1
Sn1 Sn 0.500 0.500 0.500 1


no.,electronic total energy (eV/atom)
1,-5.185
2,-5.539
3,-5.851
4,-6.446
5,-4.596
6,-3.965
7,-3.979
8,-4.249
9,-4.137
10,-4.249
11,-3.051
12,-3.997
13,-3.121
14,-4.123
15,-4.329
16,-4.328
17,-3.758
18,-4.269
19,-4.354
20,-3.936